(1)
This record from Alexandria describes MnVPb2 after structural relaxation. The functional is PBE-GGA.

## Properties
Offset from the most stable computed form   0.1606 eV/atom
Calculated formation energy   783 meV/atom
Volume   22.896 Å³ per atom
Magnetization   5.7 μB/f.u.

abc: 6.238 6.238 6.238
angles: 105.07 105.07 118.69
Element x y z (fractional)
Mn: 0.000 0.000 0.000
Mn: 0.750 0.250 0.500
V: 0.250 0.750 0.500
V: 0.500 0.500 0.000
Pb: 0.119 0.625 0.994
Pb: 0.375 0.369 0.494
Pb: 0.631 0.125 0.006
Pb: 0.875 0.881 0.506

---

(2)
This record from Alexandria describes Bi3NO after structural relaxation. The functional is PBE-GGA.

## Properties
Offset from the most stable computed form   0.0000 eV/atom
Volume   23.175 Å³ per atom
Magnetization   0.0 μB/f.u.
Raw formation energy   19.10 kcal/mol of atoms

abc: 4.875 4.875 4.875
angles: 90.00 90.00 90.00
Element x y z (fractional)
Bi: 0.000 0.000 0.500
Bi: 0.000 0.500 0.000
Bi: 0.500 0.000 0.000
N: 0.000 0.000 0.000
O: 0.500 0.500 0.500

---

(3)
This record from Alexandria describes Hf2NpPd after structural relaxation. The functional is PBE-GGA.

## Properties
Offset from the most stable computed form   0.0000 eV/atom
Calculated formation energy   -134 meV/atom
Volume   20.490 Å³ per atom
Magnetization   3.7 μB/f.u.

abc: 3.258 3.258 7.719
angles: 90.00 90.00 90.00
Element x y z (fractional)
Hf: 0.000 0.000 0.222
Hf: 0.000 0.000 0.778
Np: 0.500 0.500 0.500
Pd: 0.500 0.500 0.000

---

Fermi-level density of states for the records above, in order: 11.334 16.099 7.059 states/eV per cell